Entry 1:
{"formula": "BaInCu", "functional": "PBE-GGA", "state": "relaxed", "total_energy_ev_per_cell": -9.32, "sg": "P-6m2, No. 187", "dos_at_fermi_per_ev_cell": 2.28, "cell": [[4.739, 0.000, 0.000], [-2.369, 4.104, 0.000], [0.000, 0.000, 4.755]], "species": ["Ba", "Cu", "In"], "frac_coords": [[0.000, 0.000, 0.000], [0.333, 0.667, 0.500], [0.667, 0.333, 0.500]]}


Entry 2:
{"formula": "SiIrOs2", "functional": "PBE-GGA", "state": "relaxed", "total_energy_ev_per_cell": -35.35, "sg": "Cmmm, No. 65", "dos_at_fermi_per_ev_cell": 3.88, "e_form_raw_ev_per_atom": 0.349, "cell": [[-2.223, 0.738, -1.486], [0.057, -2.461, 1.278], [-3.511, 3.562, 7.021]], "species": ["Ir", "Os", "Os", "Si"], "frac_coords": [[0.500, 0.500, 0.750], [0.000, 0.000, 0.023], [0.000, 0.000, 0.477], [0.500, 0.500, 0.250]]}


Entry 3:
{"formula": "Tb4HoAl", "functional": "PBE-GGA", "state": "relaxed", "total_energy_ev_per_cell": -27.54, "sg": "P4/mmm, No. 123", "dos_at_fermi_per_ev_cell": 6.37, "cell": [[-3.042, -0.403, 1.748], [-1.490, -1.348, -2.904], [3.980, -12.907, 3.948]], "species": ["Tb", "Tb", "Tb", "Tb", "Ho", "Al"], "frac_coords": [[0.500, 0.500, 0.179], [0.000, 0.000, 0.637], [0.000, 0.000, 0.363], [0.500, 0.500, 0.821], [0.000, 0.000, 0.000], [0.500, 0.500, 0.500]]}


Entry 4:
{"formula": "Y2HgAu", "functional": "PBE-GGA", "state": "relaxed", "total_energy_ev_per_cell": -18.68, "sg": "R-3m, No. 166", "dos_at_fermi_per_ev_cell": 4.73, "cell": [[-6.058, -0.704, 5.929], [-3.317, -3.263, 7.121], [-2.937, 0.562, 7.963]], "species": ["Au", "Hg", "Y", "Y"], "frac_coords": [[0.250, 0.250, 0.250], [0.750, 0.750, 0.750], [0.993, 0.993, 0.993], [0.507, 0.507, 0.507]]}


Entry 5:
{"formula": "TaRhW2", "functional": "PBE-GGA", "state": "relaxed", "total_energy_ev_per_cell": -45.14, "sg": "Imm2, No. 44", "dos_at_fermi_per_ev_cell": 3.27, "cell": [[4.607, 2.129, 1.115], [0.588, 1.455, 4.953], [-0.995, -4.086, -3.051]], "species": ["Ta", "Rh", "W", "W"], "frac_coords": [[0.246, 0.746, 0.500], [0.501, 0.501, 0.000], [0.995, 0.995, 0.000], [0.758, 0.258, 0.500]]}


Entry 6:
{"formula": "Ca5Tl4Au", "functional": "PBE-GGA", "state": "relaxed", "total_energy_ev_per_cell": -27.72, "sg": "P4/mmm, No. 123", "dos_at_fermi_per_ev_cell": 8.08, "cell": [[-1.080, -3.158, 1.901], [3.446, -1.569, -0.648], [6.547, 7.614, 16.371]], "species": ["Ca", "Ca", "Ca", "Ca", "Ca", "Tl", "Tl", "Tl", "Tl", "Au"], "frac_coords": [[0.500, 0.500, 0.089], [0.500, 0.500, 0.295], [0.500, 0.500, 0.500], [0.500, 0.500, 0.705], [0.500, 0.500, 0.911], [0.000, 0.000, 0.195], [0.000, 0.000, 0.396], [0.000, 0.000, 0.604], [0.000, 0.000, 0.805], [0.000, 0.000, 0.000]]}


Entry 7:
{"formula": "TiMnCuSn", "functional": "PBE-GGA", "state": "relaxed", "total_energy_ev_per_cell": -25.30, "sg": "F-43m, No. 216", "dos_at_fermi_per_ev_cell": 4.75, "cell": [[-0.790, -2.489, -3.575], [-1.215, -4.231, 0.472], [-4.140, -1.236, -0.966]], "species": ["Mn", "Sn", "Cu", "Ti"], "frac_coords": [[0.750, 0.750, 0.750], [0.000, 0.000, 0.000], [0.250, 0.250, 0.250], [0.500, 0.500, 0.500]]}


Entry 8:
{"formula": "SrSc2Zn", "functional": "PBE-GGA", "state": "relaxed", "total_energy_ev_per_cell": -15.55, "sg": "P4/mmm, No. 123", "dos_at_fermi_per_ev_cell": 6.07, "cell": [[3.474, 0.000, 0.000], [0.000, 3.473, 0.000], [0.000, 0.000, 8.999]], "species": ["Sc", "Sc", "Sr", "Zn"], "frac_coords": [[0.000, 0.000, 0.924], [0.000, 0.000, 0.576], [0.500, 0.500, 0.250], [0.500, 0.500, 0.750]]}


Entry 9:
{"formula": "DyGa6Cu12", "functional": "PBE-GGA", "state": "relaxed", "total_energy_ev_per_cell": -72.84, "sg": "R-3m, No. 166", "dos_at_fermi_per_ev_cell": 3.67, "cell": [[6.832, 0.009, 0.013], [-1.685, 6.621, 0.013], [-1.685, -2.170, 6.255]], "species": ["Dy", "Ga", "Ga", "Ga", "Ga", "Ga", "Ga", "Cu", "Cu", "Cu", "Cu", "Cu", "Cu", "Cu", "Cu", "Cu", "Cu", "Cu", "Cu"], "frac_coords": [[0.000, 0.000, 0.000], [0.704, 0.282, 0.282], [0.282, 0.282, 0.704], [0.282, 0.704, 0.282], [0.718, 0.718, 0.296], [0.296, 0.718, 0.718], [0.718, 0.296, 0.718], [0.888, 0.112, 0.500], [0.871, 0.623, 0.623], [0.623, 0.623, 0.871], [0.377, 0.129, 0.377], [0.377, 0.377, 0.129], [0.129, 0.377, 0.377], [0.112, 0.500, 0.888], [0.500, 0.888, 0.112], [0.112, 0.888, 0.500], [0.888, 0.500, 0.112], [0.500, 0.112, 0.888], [0.623, 0.871, 0.623]]}


Entry 10:
{"formula": "CoSiSe2", "functional": "PBE-GGA", "state": "relaxed", "total_energy_ev_per_cell": -18.60, "sg": "Imm2, No. 44", "dos_at_fermi_per_ev_cell": 2.68, "e_form_raw_ev_per_atom": 0.224, "cell": [[-0.793, -3.208, -5.112], [0.640, -5.973, -0.980], [-2.495, 4.776, 2.830]], "species": ["Co", "Se", "Se", "Si"], "frac_coords": [[0.246, 0.746, 0.500], [0.063, 0.063, 0.000], [0.769, 0.269, 0.500], [0.422, 0.422, 0.000]]}


Entry 11:
{"formula": "LaUAsO2", "functional": "PBE-GGA", "state": "relaxed", "total_energy_ev_per_cell": -43.29, "sg": "I4mm, No. 107", "dos_at_fermi_per_ev_cell": 6.24, "e_form_raw_ev_per_atom": -2.502, "cell": [[3.860, 0.000, 0.000], [0.000, 3.860, 0.000], [-1.930, -1.930, 6.273]], "species": ["La", "U", "As", "O", "O"], "frac_coords": [[0.139, 0.139, 0.278], [0.850, 0.850, 0.701], [0.493, 0.493, 0.985], [0.759, 0.259, 0.518], [0.259, 0.759, 0.518]]}


Entry 12:
{"formula": "BeTcP2", "functional": "PBE-GGA", "state": "relaxed", "total_energy_ev_per_cell": -23.99, "sg": "I-4m2, No. 119", "dos_at_fermi_per_ev_cell": 2.54, "cell": [[-1.128, -3.815, -2.322], [2.420, -0.566, -3.879], [1.105, 0.893, 4.382]], "species": ["P", "P", "Tc", "Be"], "frac_coords": [[0.000, 0.000, 0.000], [0.250, 0.750, 0.500], [0.500, 0.500, 0.000], [0.750, 0.250, 0.500]]}


Entry 13:
{"formula": "Mn2H2Ir", "functional": "PBE-GGA", "state": "relaxed", "total_energy_ev_per_cell": -34.11, "sg": "I4/mmm, No. 139", "dos_at_fermi_per_ev_cell": 4.09, "cell": [[2.718, 0.000, 0.000], [0.000, 2.718, 0.000], [1.359, 1.359, 5.867]], "species": ["H", "H", "Ir", "Mn", "Mn"], "frac_coords": [[0.750, 0.250, 0.500], [0.250, 0.750, 0.500], [0.000, 0.000, 0.000], [0.347, 0.347, 0.306], [0.653, 0.653, 0.694]]}


Entry 14:
{"formula": "Ba2LaRe", "functional": "PBE-GGA", "state": "relaxed", "total_energy_ev_per_cell": -16.83, "sg": "Cmmm, No. 65", "dos_at_fermi_per_ev_cell": 6.85, "cell": [[6.640, 0.003, 0.000], [-3.447, 5.675, 0.000], [0.000, 0.000, 3.325]], "species": ["Re", "Ba", "Ba", "La"], "frac_coords": [[0.000, 0.500, 0.500], [0.000, 0.000, 0.000], [0.500, 0.500, 0.000], [0.500, 0.000, 0.500]]}


Entry 15:
{"formula": "Tl9Hg4Au2", "functional": "PBE-GGA", "state": "relaxed", "total_energy_ev_per_cell": -58.47, "sg": "P-1, No. 2", "dos_at_fermi_per_ev_cell": 11.36, "cell": [[7.978, 0.037, -0.039], [4.020, 8.053, -1.020], [-0.035, -1.459, 13.693]], "species": ["Tl", "Tl", "Tl", "Tl", "Tl", "Tl", "Tl", "Tl", "Tl", "Tl", "Tl", "Tl", "Tl", "Tl", "Tl", "Tl", "Tl", "Tl", "Hg", "Hg", "Hg", "Hg", "Hg", "Hg", "Hg", "Hg", "Au", "Au", "Au", "Au"], "frac_coords": [[0.081, 0.232, 0.779], [0.328, 0.748, 0.702], [0.600, 0.988, 0.750], [0.919, 0.768, 0.221], [0.672, 0.252, 0.298], [0.400, 0.012, 0.250], [0.723, 0.941, 0.456], [0.012, 0.408, 0.374], [0.209, 0.709, 0.420], [0.722, 0.056, 0.036], [0.358, 0.641, 0.101], [0.919, 0.349, 0.102], [0.277, 0.059, 0.544], [0.988, 0.592, 0.626], [0.791, 0.291, 0.580], [0.278, 0.944, 0.964], [0.642, 0.359, 0.899], [0.081, 0.651, 0.898], [0.297, 0.287, 0.968], [0.393, 0.341, 0.486], [0.703, 0.713, 0.032], [0.289, 0.379, 0.197], [0.607, 0.659, 0.514], [0.601, 0.632, 0.286], [0.399, 0.368, 0.714], [0.711, 0.621, 0.803], [0.047, 0.059, 0.374], [0.050, 0.010, 0.159], [0.953, 0.941, 0.626], [0.950, 0.990, 0.841]]}


Entry 16:
{"formula": "SrLi2Br", "functional": "PBE-GGA", "state": "relaxed", "total_energy_ev_per_cell": -9.40, "sg": "C2/m, No. 12", "dos_at_fermi_per_ev_cell": 2.08, "e_form_raw_ev_per_atom": -0.553, "cell": [[4.821, 0.000, 0.000], [-2.407, 6.965, 0.032], [0.007, 1.121, 3.821]], "species": ["Br", "Li", "Li", "Sr"], "frac_coords": [[0.500, 0.500, 0.000], [0.000, 0.000, 0.000], [0.500, 0.000, 0.500], [0.000, 0.500, 0.500]]}


Entry 17:
{"formula": "YTlCd2", "functional": "PBE-GGA", "state": "relaxed", "total_energy_ev_per_cell": -11.26, "sg": "P4mm, No. 99", "dos_at_fermi_per_ev_cell": 1.98, "cell": [[-1.636, -2.579, -2.027], [3.171, -1.824, -0.234], [-1.736, -3.821, 6.262]], "species": ["Cd", "Cd", "Tl", "Y"], "frac_coords": [[0.000, 0.000, 0.021], [0.500, 0.500, 0.236], [0.000, 0.000, 0.484], [0.500, 0.500, 0.759]]}


Entry 18:
{"formula": "DyY2PuS4", "functional": "PBE-GGA", "state": "relaxed", "total_energy_ev_per_cell": -64.08, "sg": "P2/m, No. 10", "dos_at_fermi_per_ev_cell": 7.57, "e_form_raw_ev_per_atom": -1.963, "cell": [[3.911, 0.000, 0.000], [0.000, 6.799, 0.125], [0.000, -2.358, 6.380]], "species": ["Dy", "Y", "Y", "Pu", "S", "S", "S", "S"], "frac_coords": [[0.000, 0.000, 0.000], [0.500, 0.000, 0.500], [0.000, 0.500, 0.500], [0.500, 0.500, 0.000], [0.500, 0.248, 0.250], [0.500, 0.752, 0.750], [0.000, 0.248, 0.749], [0.000, 0.752, 0.251]]}


Entry 19:
{"formula": "TiCd3Pt12", "functional": "PBE-GGA", "state": "relaxed", "total_energy_ev_per_cell": -89.26, "sg": "P4/mmm, No. 123", "dos_at_fermi_per_ev_cell": 15.94, "cell": [[4.009, 0.000, 0.000], [0.000, 4.009, 0.000], [0.000, 0.000, 16.113]], "species": ["Ti", "Cd", "Cd", "Cd", "Pt", "Pt", "Pt", "Pt", "Pt", "Pt", "Pt", "Pt", "Pt", "Pt", "Pt", "Pt"], "frac_coords": [[0.000, 0.000, 0.000], [0.000, 0.000, 0.247], [0.000, 0.000, 0.500], [0.000, 0.000, 0.753], [0.500, 0.500, 0.000], [0.500, 0.500, 0.245], [0.500, 0.500, 0.500], [0.500, 0.500, 0.755], [0.500, 0.000, 0.117], [0.500, 0.000, 0.373], [0.500, 0.000, 0.627], [0.500, 0.000, 0.883], [0.000, 0.500, 0.117], [0.000, 0.500, 0.373], [0.000, 0.500, 0.627], [0.000, 0.500, 0.883]]}


Entry 20:
{"formula": "Ti8Al2Pt", "functional": "PBE-GGA", "state": "relaxed", "total_energy_ev_per_cell": -79.87, "sg": "C2/m, No. 12", "dos_at_fermi_per_ev_cell": 14.03, "cell": [[-2.762, -3.362, 0.425], [1.134, -1.746, -6.445], [5.571, -1.169, 4.475]], "species": ["Ti", "Ti", "Ti", "Ti", "Ti", "Ti", "Ti", "Ti", "Al", "Al", "Pt"], "frac_coords": [[0.409, 0.560, 0.818], [0.669, 0.906, 0.338], [0.833, 0.771, 0.665], [0.974, 0.240, 0.948], [0.167, 0.229, 0.335], [0.331, 0.094, 0.662], [0.591, 0.440, 0.182], [0.026, 0.760, 0.052], [0.803, 0.346, 0.606], [0.197, 0.654, 0.394], [0.500, 0.000, 0.000]]}